Arrangement 1

Compound: InTc2P
Source: Alexandria
Functional: PBE-GGA
Structure: optimized geometry

Unit cell a=4.2354 b=4.2354 c=5.9022 alpha=66.34 beta=66.34 gamma=44.35
With the nearest neighbours (Å) after each atom.
Element x y z (fractional)
In: 0.4536 0.4536 0.5075  6 Tc 2.76-2.88, 3 P 2.92-3.05
Tc: 0.0548 0.0548 0.8373  3 P 2.36-2.38
Tc: 0.2669 0.2669 0.2051  2 P 2.32
P: 0.7248 0.7248 0.9501  5 Tc 2.32-2.38

Output
space group	Cm
DOS(E_F)	2.17	states/eV/f.u.
total moment	0.00	Bohr magnetons per cell
theoretical density	8.51	Mg/m³



Arrangement 2

Compound: InTc2P
Source: Alexandria
Functional: PBE-GGA
Structure: optimized geometry

Unit cell a=4.4079 b=4.4079 c=4.4079 alpha=60.00 beta=60.00 gamma=60.00
With the nearest neighbours (Å) after each atom.
Element x y z (fractional)
P: 0.0000 0.0000 0.0000  8 Tc 2.70
Tc: 0.2500 0.2500 0.2500  4 In 2.70, 4 P 2.70
Tc: 0.7500 0.7500 0.7500  4 In 2.70, 4 P 2.70
In: 0.5000 0.5000 0.5000  8 Tc 2.70

Output
space group	Fm-3m
DOS(E_F)	4.77	states/eV/f.u.
total moment	0.00	Bohr magnetons per cell
theoretical density	9.37	Mg/m³



arrangement 1 (0.285 eV/atom below the next structure)



Arrangement 1

Compound: InTc2P
Source: Alexandria
Functional: PBE-GGA
Structure: optimized geometry

Unit cell a=8.2851 b=8.2851 c=8.2851 alpha=20.79 beta=20.79 gamma=20.79
With the nearest neighbours (Å) after each atom.
Element x y z (fractional)
In: 0.5000 0.5000 0.5000  6 Tc 2.91, 6 In 2.99
Tc: 0.7368 0.7368 0.7368  3 P 2.43
Tc: 0.2632 0.2632 0.2632  3 P 2.43
P: 0.0000 0.0000 0.0000  6 Tc 2.43

Output
space group	R-3m
DOS(E_F)	4.79	states/eV/f.u.
total moment	0.02	Bohr magnetons per cell
theoretical density	9.05	Mg/m³



Arrangement 2

Compound: InTc2P
Source: Alexandria
Functional: PBE-GGA
Structure: optimized geometry

Unit cell a=4.3904 b=4.3904 c=3.1530 alpha=90.00 beta=90.00 gamma=90.00
With the nearest neighbours (Å) after each atom.
Element x y z (fractional)
In: 0.5000 0.5000 0.5000  8 Tc 2.70
Tc: 0.5000 0.0000 0.0000  4 In 2.70, 4 P 2.70
Tc: 0.0000 0.5000 0.0000  4 In 2.70, 4 P 2.70
P: 0.0000 0.0000 0.5000  8 Tc 2.70

Output
space group	P4/mmm
DOS(E_F)	4.10	states/eV/f.u.
total moment	0.00	Bohr magnetons per cell
theoretical density	9.34	Mg/m³



arrangement 1 (0.269 eV/atom below the next structure)



Arrangement 1

Compound: InTc2P
Source: Alexandria
Functional: PBE-GGA
Structure: optimized geometry

Unit cell a=3.5712 b=3.5712 c=7.4585 alpha=73.98 beta=73.98 gamma=49.76
With the nearest neighbours (Å) after each atom.
Element x y z (fractional)
In: 0.0000 0.0000 0.5000  4 Tc 2.85, 2 In 3.00
Tc: 0.2692 0.2692 0.8242  3 P 2.27-2.37
Tc: 0.7308 0.7308 0.1758  3 P 2.27-2.37
P: 0.5000 0.5000 0.0000  6 Tc 2.27-2.37

Output
space group	C2/m
DOS(E_F)	3.73	states/eV/f.u.
total moment	0.00	Bohr magnetons per cell
theoretical density	8.21	Mg/m³



Arrangement 2

Compound: InTc2P
Source: Alexandria
Functional: PBE-GGA
Structure: optimized geometry

Unit cell a=2.8029 b=2.8029 c=10.0117 alpha=90.00 beta=90.00 gamma=115.16
With the nearest neighbours (Å) after each atom.
Element x y z (fractional)
In: 0.0000 0.0000 0.5284  6 In 2.80-3.01, 2 Tc 2.96
Tc: 0.0000 0.0000 0.0021  2 P 2.38, 2 Tc 2.66
Tc: 0.5000 0.5000 0.7827  6 Tc 2.66-2.80, 2 In 2.96
P: 0.5000 0.5000 0.1868  2 Tc 2.38

Output
space group	Cmm2
DOS(E_F)	4.09	states/eV/f.u.
total moment	0.00	Bohr magnetons per cell
theoretical density	7.97	Mg/m³



arrangement 1 (0.411 eV/atom below the next structure)



Arrangement 1

Compound: InTc2P
Source: Alexandria
Functional: PBE-GGA
Structure: optimized geometry

Unit cell a=5.1085 b=5.1085 c=5.1085 alpha=145.39 beta=121.32 gamma=69.95
With the nearest neighbours (Å) after each atom.
Element x y z (fractional)
In: 0.0000 0.5000 0.5000  8 Tc 2.86-3.06, 4 P 2.93, 2 In 3.04
Tc: 0.7110 0.7110 0.0000  2 P 2.33
Tc: 0.2890 0.2890 0.0000  2 P 2.33
P: 0.5000 0.0000 0.5000  4 Tc 2.33

Output
space group	Immm
DOS(E_F)	3.13	states/eV/f.u.
total moment	0.00	Bohr magnetons per cell
theoretical density	8.91	Mg/m³



Arrangement 2

Compound: InTc2P
Source: Alexandria
Functional: PBE-GGA
Structure: optimized geometry

Unit cell a=4.9573 b=4.9573 c=4.9573 alpha=133.80 beta=133.80 gamma=67.41
With the nearest neighbours (Å) after each atom.
Element x y z (fractional)
In: 0.5000 0.5000 0.0000  8 Tc 2.75-2.83, 4 P 2.83
Tc: 0.0000 0.0000 0.0000  4 In 2.75, 4 Tc 2.83, 4 P 2.83
Tc: 0.2500 0.7500 0.5000  4 P 2.75, 4 In 2.83, 4 Tc 2.83
P: 0.7500 0.2500 0.5000  8 Tc 2.75-2.83, 4 In 2.83

Output
space group	I-4m2
DOS(E_F)	3.25	states/eV/f.u.
total moment	0.00	Bohr magnetons per cell
theoretical density	9.09	Mg/m³



Arrangement 3

Compound: InTc2P
Source: Alexandria
Functional: PBE-GGA
Structure: optimized geometry

Unit cell a=2.9794 b=2.9794 c=8.1870 alpha=90.00 beta=90.00 gamma=117.79
With the nearest neighbours (Å) after each atom.
Element x y z (fractional)
In: 0.5000 0.5000 0.5000  4 Tc 2.83, 6 In 2.98-3.08
Tc: 0.0000 0.0000 0.2096  2 P 2.31
Tc: 0.0000 0.0000 0.7904  2 P 2.31
P: 0.5000 0.5000 0.0000  4 Tc 2.31

Output
space group	Cmmm
DOS(E_F)	3.10	states/eV/f.u.
total moment	0.00	Bohr magnetons per cell
theoretical density	8.83	Mg/m³



Arrangement 4

Compound: InTc2P
Source: Alexandria
Functional: PBE-GGA
Structure: optimized geometry

Unit cell a=4.4890 b=4.4890 c=4.4890 alpha=60.00 beta=60.00 gamma=60.00
With the nearest neighbours (Å) after each atom.
Element x y z (fractional)
In: 0.5000 0.5000 0.5000  4 Tc 2.75, 4 P 2.75
Tc: 0.0000 0.0000 0.0000  4 Tc 2.75, 4 P 2.75
Tc: 0.7500 0.7500 0.7500  4 In 2.75, 4 Tc 2.75
P: 0.2500 0.2500 0.2500  4 In 2.75, 4 Tc 2.75

Output
space group	F-43m
DOS(E_F)	3.94	states/eV/f.u.
total moment	0.00	Bohr magnetons per cell
theoretical density	8.87	Mg/m³



arrangement 1 (0.037 eV/atom below the next structure)



Arrangement 1

Compound: InTc2P
Source: Alexandria
Functional: PBE-GGA
Structure: optimized geometry

Unit cell a=3.1241 b=3.1241 c=6.5611 alpha=90.00 beta=90.00 gamma=90.00
With the nearest neighbours (Å) after each atom.
Element x y z (fractional)
In: 0.0000 0.0000 0.4962  5 Tc 2.84-3.09, 4 P 3.03, 4 In 3.12
Tc: 0.0000 0.0000 0.9665  4 P 2.43
Tc: 0.5000 0.5000 0.2239  1 P 2.69, 4 Tc 2.78, 4 In 2.84
P: 0.5000 0.5000 0.8133  5 Tc 2.43-2.69

Output
space group	P4mm
DOS(E_F)	3.84	states/eV/f.u.
total moment	0.00	Bohr magnetons per cell
theoretical density	8.86	Mg/m³



Arrangement 2

Compound: InTc2P
Source: Alexandria
Functional: PBE-GGA
Structure: optimized geometry

Unit cell a=5.1103 b=5.1103 c=2.9479 alpha=74.68 beta=74.68 gamma=109.87
With the nearest neighbours (Å) after each atom.
Element x y z (fractional)
In: 0.0000 0.0000 0.5000  4 Tc 2.59
Tc: 0.0000 0.5000 0.0000  2 In 2.59, 2 P 2.59
Tc: 0.5000 0.0000 0.0000  2 In 2.59, 2 P 2.59
P: 0.5000 0.5000 0.5000  4 Tc 2.59

Output
space group	C2/m
DOS(E_F)	3.09	states/eV/f.u.
total moment	0.00	Bohr magnetons per cell
theoretical density	8.83	Mg/m³



arrangement 1 (0.479 eV/atom below the next structure)